Entry from Alexandria via LeMat-Bulk: a geometry-optimized Pm2CuB3Pt12 structure (PBE).

For the total moment, the calculation gives 0.0000 μB per atom. The value obtained for the formation energy is -0.392 eV/atom.

abc: 7.9516 7.9516 17.2711
angles: 90.00 90.00 120.00
Space group R-3m (No. 166, hexagonal axes)
Symmetry-distinct sites (fractional):
1 Pm 0.0000 0.0000 0.1076 [6 per cell]
2 Cu 0.0000 0.0000 0.5000 [3 per cell]
3 B 0.0000 0.5000 0.0000 [9 per cell]
4 Pt 0.0004 0.5002 0.1216 [18 per cell]
5 Pt 0.0566 0.5283 0.3548 [18 per cell]

---

Entry from Alexandria via LeMat-Bulk: a geometry-optimized CsZnHg2 structure (PBE).

For the total moment, the calculation gives 0.0000 μB per atom. The value obtained for the formation energy is -0.062 eV/atom.

abc: 6.0914 6.0914 18.1288
angles: 90.00 90.00 90.00
Space group I-42d (No. 122)
Symmetry-distinct sites (fractional):
1 Cs 0.0000 0.0000 0.0000 [4 per cell]
2 Zn 0.0000 0.0000 0.5000 [4 per cell]
3 Hg 0.0019 0.2500 0.6250 [8 per cell]

---

Entry from Alexandria via LeMat-Bulk: a geometry-optimized CuGe2Te4 structure (PBE).

The calculation puts the energy above the lowest structure with this stoichiometry at 66 kJ/mol of formula units. The formation energy (no corrections) is 0.06 eV/atom. For the total moment, the calculation gives 0.0000 μB per atom.

abc: 6.4070 7.6654 8.7034
angles: 90.00 91.58 90.00
Space group P2_1/m (No. 11)
Symmetry-distinct sites (fractional):
1 Cu 0.2388 0.2500 0.2781 [2 per cell]
2 Ge 0.1907 0.7500 0.7125 [2 per cell]
3 Ge 0.4382 0.2500 0.0111 [2 per cell]
4 Te 0.0044 0.2500 0.0096 [2 per cell]
5 Te 0.0464 0.2500 0.5332 [2 per cell]
6 Te 0.4757 0.0040 0.7375 [4 per cell]

---

Entry from Alexandria via LeMat-Bulk: a geometry-optimized Cu3PtAu structure (PBE).

The calculation puts the energy above the lowest structure with this stoichiometry at 463 kJ/mol of formula units. For the total moment, the calculation gives 0.0000 μB per atom. The value obtained for the formation energy is 0.868 eV/atom.

abc: 4.6678 4.6678 4.6678
angles: 90.00 90.00 90.00
Space group Pm-3m (No. 221)
Symmetry-distinct sites (fractional):
1 Cu 0.0000 0.0000 0.5000 [3 per cell]
2 Pt 0.0000 0.0000 0.0000 [1 per cell]
3 Au 0.5000 0.5000 0.5000 [1 per cell]

---

| no. | E (eV/cell) |
| --- | --- |
| 1 | -339.54 |
| 2 | -11.92 |
| 3 | -50.89 |
| 4 | -17.27 |